(1)
# Sc2BeNi

A relaxed Sc2BeNi crystal (PBE, Alexandria).

a b c (Å): 3.0203 3.0203 7.1615
angles (deg): 90.00 90.00 90.00
With the nearest neighbours (Å) after each atom.
Element x y z (fractional)
Sc  0.0000  0.0000  0.9350  1 Be 2.67, 4 Ni 2.75
Sc  0.5000  0.5000  0.3102  1 Ni 2.74, 4 Be 2.79, 4 Sc 3.02
Ni  0.5000  0.5000  0.6928  4 Be 2.33
Be  0.0000  0.0000  0.5619  4 Ni 2.33

energy of formation	-0.154	eV per atom
space group	No. 99

(2)
# Ga2Tc2Au

A relaxed Ga2Tc2Au crystal (PBE, Alexandria).

a b c (Å): 6.7799 6.7799 3.3643
angles (deg): 90.00 90.00 90.00
With the nearest neighbours (Å) after each atom.
Element x y z (fractional)
Ga  0.3669  0.8669  0.0000  1 Ga 2.55, 6 Tc 2.56-2.64, 2 Au 2.65
Ga  0.8669  0.6331  0.0000  1 Ga 2.55, 6 Tc 2.56-2.64, 2 Au 2.65
Ga  0.6331  0.1331  0.0000  1 Ga 2.55, 6 Tc 2.56-2.64, 2 Au 2.65
Ga  0.1331  0.3669  0.0000  1 Ga 2.55, 6 Tc 2.56-2.64, 2 Au 2.65
Tc  0.8347  0.3347  0.5000  6 Ga 2.56-2.64
Tc  0.6653  0.8347  0.5000  6 Ga 2.56-2.64
Tc  0.1653  0.6653  0.5000  6 Ga 2.56-2.64
Tc  0.3347  0.1653  0.5000  6 Ga 2.56-2.64
Au  0.0000  0.0000  0.0000  4 Ga 2.65
Au  0.5000  0.5000  0.0000  4 Ga 2.65

energy of formation	0.130	eV per atom
E above lowest polymorph	72	meV/atom
space group	No. 127

(3)
# FeRhAu

A relaxed FeRhAu crystal (PBE, Alexandria).

a b c (Å): 5.9968 5.9968 2.8167
angles (deg): 76.42 76.42 27.17
With the nearest neighbours (Å) after each atom.
Element x y z (fractional)
Au  0.9947  0.9947  0.0053  4 Fe 2.77, 4 Au 2.82, 4 Rh 2.90
Fe  0.3242  0.3242  0.6758  4 Rh 2.57, 4 Au 2.77, 4 Fe 2.82
Rh  0.6811  0.6811  0.3189  4 Fe 2.57, 4 Rh 2.82

energy of formation	0.057	eV per atom
E above lowest polymorph	23	meV/atom
space group	No. 107

(4)
# Li2Tb2CeIn2

A relaxed Li2Tb2CeIn2 crystal (PBE, Alexandria).

a b c (Å): 4.9494 4.9494 9.0849
angles (deg): 74.19 74.19 60.00
With the nearest neighbours (Å) after each atom.
Element x y z (fractional)
Tb  0.8727  0.8727  0.3819  4 In 3.20-3.48, 3 Li 3.28, 1 Ce 3.29, 3 Tb 3.51
Tb  0.1273  0.1273  0.6181  4 In 3.20-3.48, 3 Li 3.28, 1 Ce 3.29, 3 Tb 3.51
Ce  0.0000  0.0000  0.0000  2 Tb 3.29, 6 Li 3.32, 6 In 3.40
In  0.7380  0.7380  0.7859  3 Li 2.86, 3 Tb 3.20
In  0.2620  0.2620  0.2141  3 Li 2.86, 3 Tb 3.20
Li  0.6015  0.6015  0.1956  3 In 2.86
Li  0.3985  0.3985  0.8044  3 In 2.86

energy of formation	-0.187	eV per atom
space group	No. 166

(5)
# La6Tl2Hg

A relaxed La6Tl2Hg crystal (PBE, Alexandria).

a b c (Å): 4.6656 8.6574 8.6566
angles (deg): 120.00 90.00 90.00
With the nearest neighbours (Å) after each atom.
Element x y z (fractional)
La  0.5000  0.5920  0.0000  4 Tl 3.51, 1 Hg 3.53, 6 La 3.67-3.88
La  0.0000  0.0000  0.2639  2 Tl 3.23, 2 Hg 3.26
La  0.5000  0.4077  0.4076  4 Tl 3.51, 1 Hg 3.53, 6 La 3.68-3.88
La  0.5000  0.0001  0.5924  4 Tl 3.51, 1 Hg 3.53, 6 La 3.68-3.88
La  0.0000  0.2641  0.0000  2 Tl 3.23, 2 Hg 3.27
La  0.0000  0.7360  0.7361  2 Tl 3.23, 2 Hg 3.26
Hg  0.5000  0.9998  0.0000  9 La 3.26-3.53
Tl  0.0000  0.3334  0.6666  9 La 3.23-3.51
Tl  0.0000  0.6668  0.3334  9 La 3.23-3.51

energy of formation	-0.303	eV per atom
space group	No. 189

(6)
# RbGeB2Cl8

A relaxed RbGeB2Cl8 crystal (PBE, Alexandria).

a b c (Å): 6.2096 6.2096 10.5696
angles (deg): 72.92 72.92 60.00
With the nearest neighbours (Å) after each atom.
Element x y z (fractional)
Cl  0.5397  0.2900  0.1982  1 B 1.87
Cl  0.9721  0.5397  0.1982  1 B 1.87
Cl  0.1845  0.1845  0.4466  1 B 1.86
Cl  0.4603  0.7100  0.8018  1 B 1.87
Cl  0.8155  0.8155  0.5534  1 B 1.86
Cl  0.2900  0.9721  0.1982  1 B 1.87
Cl  0.7100  0.0279  0.8018  1 B 1.87
Cl  0.0279  0.4603  0.8018  1 B 1.87
Rb  0.5000  0.5000  0.5000  12 Cl 3.62-3.69
B  0.2469  0.2469  0.2593  4 Cl 1.86-1.87
B  0.7531  0.7531  0.7407  4 Cl 1.86-1.87
Ge  0.0000  0.0000  0.0000  6 Cl 3.06

space group	No. 148

(7)
# ZnFeS2

A relaxed ZnFeS2 crystal (PBE, Alexandria).

a b c (Å): 7.0539 7.0539 7.0539
angles (deg): 27.94 27.94 27.94
With the nearest neighbours (Å) after each atom.
Element x y z (fractional)
Fe  0.5000  0.5000  0.5000  6 S 2.26
S  0.1114  0.1114  0.1114  3 Fe 2.26, 1 Zn 2.26
S  0.8886  0.8886  0.8886  3 Fe 2.26, 1 Zn 2.26
Zn  0.0000  0.0000  0.0000  2 S 2.26

space group	No. 166

(8)
# Fe5IrPt2

A relaxed Fe5IrPt2 crystal (PBE, Alexandria).

a b c (Å): 5.3096 5.3096 5.3096
angles (deg): 91.39 119.20 119.20
With the nearest neighbours (Å) after each atom.
Element x y z (fractional)
Pt  0.5000  0.2777  0.7777  10 Fe 2.65-2.69, 2 Ir 2.69
Pt  0.5000  0.7777  0.2777  10 Fe 2.65-2.69, 2 Ir 2.69
Fe  0.4997  0.2776  0.2776  6 Fe 2.65-2.69, 2 Ir 2.65-2.66, 4 Pt 2.65
Fe  0.0000  0.7779  0.2776  6 Fe 2.65-2.69, 2 Ir 2.65-2.66, 4 Pt 2.65
Fe  0.5003  0.7779  0.7779  6 Fe 2.65-2.69, 2 Ir 2.65-2.66, 4 Pt 2.65
Fe  0.0000  0.2776  0.7779  6 Fe 2.65-2.69, 2 Ir 2.65-2.66, 4 Pt 2.65
Fe  0.0000  0.2781  0.2781  8 Fe 2.65-2.66, 4 Pt 2.69
Ir  0.0000  0.7775  0.7775  8 Fe 2.65-2.66, 4 Pt 2.69

energy of formation	-0.090	eV per atom
space group	No. 139

(9)
# LiSmEr

A relaxed LiSmEr crystal (PBE, Alexandria).

a b c (Å): 3.5755 3.5755 13.3240
angles (deg): 90.00 90.00 90.00
With the nearest neighbours (Å) after each atom.
Element x y z (fractional)
Sm  0.5000  0.0000  0.7804  4 Li 3.43, 4 Er 3.55, 4 Sm 3.58
Sm  0.0000  0.5000  0.2196  4 Li 3.43, 4 Er 3.55, 4 Sm 3.58
Li  0.5000  0.5000  0.0000  4 Li 2.53
Li  0.0000  0.0000  0.0000  4 Li 2.53
Er  0.5000  0.0000  0.4066  8 Er 3.55-3.58, 4 Sm 3.55
Er  0.0000  0.5000  0.5934  8 Er 3.55-3.58, 4 Sm 3.55

energy of formation	0.136	eV per atom
E above lowest polymorph	57	meV/atom
space group	No. 129

(10)
# Pr2ScIn2

A relaxed Pr2ScIn2 crystal (PBE, Alexandria).

a b c (Å): 4.8503 6.1840 6.1840
angles (deg): 65.74 66.91 66.91
With the nearest neighbours (Å) after each atom.
Element x y z (fractional)
Pr  0.8049  0.6951  0.6951  6 In 3.35-3.38, 1 Pr 3.58, 2 Sc 3.71
Pr  0.1951  0.3049  0.3049  6 In 3.35-3.38, 1 Pr 3.58, 2 Sc 3.71
Sc  0.0000  0.0000  0.0000  4 In 3.04
In  0.5000  0.2740  0.7260  1 In 3.03, 2 Sc 3.04, 6 Pr 3.35-3.38
In  0.5000  0.7260  0.2740  1 In 3.03, 2 Sc 3.04, 6 Pr 3.35-3.38

energy of formation	-0.353	eV per atom
space group	No. 71

(11)
# MoAsOs2

A relaxed MoAsOs2 crystal (PBE, Alexandria).

a b c (Å): 4.6165 4.6165 2.8871
angles (deg): 90.00 90.00 101.64
With the nearest neighbours (Å) after each atom.
Element x y z (fractional)
Mo  0.0000  0.5000  0.5000  8 Os 2.72, 2 Mo 2.89, 2 As 2.92
Os  0.0000  0.0000  0.0000  4 Mo 2.72, 4 As 2.72, 4 Os 2.89-2.92
Os  0.5000  0.5000  0.0000  4 As 2.72, 4 Mo 2.72, 4 Os 2.89-2.92
As  0.5000  0.0000  0.5000  8 Os 2.72, 2 As 2.89, 2 Mo 2.92

energy of formation	0.455	eV per atom
space group	No. 65

(12)
# Sm5HoPt6

A relaxed Sm5HoPt6 crystal (PBE, Alexandria).

a b c (Å): 5.0448 7.0306 8.7232
angles (deg): 66.24 73.49 90.00
With the nearest neighbours (Å) after each atom.
Element x y z (fractional)
Sm  0.3332  0.8332  0.3335  8 Pt 3.05-3.16
Sm  0.3328  0.3336  0.3329  8 Pt 3.09-3.13
Sm  0.6668  0.1668  0.6665  8 Pt 3.05-3.16
Sm  0.0000  0.5000  0.0000  8 Pt 3.03-3.10
Sm  0.6672  0.6664  0.6671  8 Pt 3.09-3.13
Pt  0.1625  0.4071  0.6769  1 Ho 3.00, 7 Sm 3.03-3.16
Pt  0.5000  0.7575  0.0000  2 Ho 3.04, 6 Sm 3.05-3.11
Pt  0.5000  0.2425  0.0000  2 Ho 3.04, 6 Sm 3.05-3.11
Pt  0.1625  0.9159  0.6770  1 Ho 3.00, 7 Sm 3.03-3.16
Pt  0.8375  0.0841  0.3230  1 Ho 3.00, 7 Sm 3.03-3.16
Pt  0.8375  0.5929  0.3231  1 Ho 3.00, 7 Sm 3.03-3.16
Ho  0.0000  0.0000  0.0000  8 Pt 3.00-3.04

energy of formation	-1.128	eV per atom
space group	No. 12

The records above yield electronic total energy values of -22.8; -58.8; -18.9; -25.8; -37.3; -44.4; -18.9; -64.0; -21.6; -23.1; -36.1; -78.0 eV for the cell shown, respectively.
The records above yield magnetization values of 0.05; 0.00; 3.55; 1.41; 0.00; 1.00; 0.00; 14.52; 0.00; 0.00; 0.00; 0.00 μB per formula unit, respectively.
The records above yield V values of 65.3; 154.6; 44.9; 182.9; 302.8; 332.0; 68.0; 107.1; 170.3; 149.5; 60.3; 269.2 Å³/cell, respectively.